No. 1
Li6AgPt: relaxed, PBE.

a b c (Å): 4.521 5.724 4.751
angles (deg): 90.00 90.00 90.00
Positions (direct):
Li  0.000  0.000  0.000
Li  0.000  0.237  0.461
Li  0.000  0.763  0.461
Li  0.500  0.233  0.827
Li  0.500  0.500  0.317
Li  0.500  0.767  0.827
Ag  0.000  0.500  0.950
Pt  0.500  0.000  0.332

offset from the most stable computed form = 0.0 meV per atom
SG = Pmm2, No. 25
calculated density = 4.7 Mg/m³
ΔH_f (0 K) = -0.283 eV per atom


No. 2
LiAg2Pt: relaxed, PBE.

a b c (Å): 4.909 4.909 4.909
angles (deg): 131.63 131.63 70.82
Positions (direct):
Li  0.000  0.000  0.000
Ag  0.500  0.500  0.000
Ag  0.750  0.250  0.500
Pt  0.250  0.750  0.500

SG = I-4m2, No. 119
calculated density = 10.7 Mg/m³
ΔH_f (0 K) = -0.195 eV per atom


No. 3
LiAg6Pt2: relaxed, PBE.

a b c (Å): 4.925 4.925 8.549
angles (deg): 105.09 105.09 49.80
Positions (direct):
Li  0.000  0.000  0.000
Ag  0.001  0.001  0.675
Ag  0.332  0.332  0.443
Ag  0.333  0.333  0.107
Ag  0.667  0.667  0.893
Ag  0.668  0.668  0.557
Ag  0.999  0.999  0.325
Pt  0.334  0.334  0.780
Pt  0.666  0.666  0.220

SG = C2/m, No. 12
calculated density = 11.4 Mg/m³
ΔH_f (0 K) = -0.070 eV per atom